1.
BeReRh3: optimized geometry, PBE-GGA.

Cell: 4.6765 4.6765 4.6765 Å, 90.00 90.00 90.00°
Last column: nearest neighbours and their distance in Å.
Sites, in units of the cell vectors:
Be 0.0000 0.0000 0.0000  12 Rh 3.31
Re 0.5000 0.5000 0.5000  6 Rh 2.34
Rh 0.0000 0.5000 0.5000  2 Re 2.34
Rh 0.5000 0.0000 0.5000  2 Re 2.34
Rh 0.5000 0.5000 0.0000  2 Re 2.34

Energy above the lowest structure with this stoichiometry = 1.103 eV per atom
VASP energy = -30.729 eV for the cell shown
DOS(E_F) = 4.4 states/eV per cell
Calculated volume = 102.3 Å³/f.u.
ρ = 8.18 g cm⁻³
E_form = 1.500 eV/atom



2.
BeRe2Rh: optimized geometry, PBE-GGA.

Cell: 9.3883 9.3883 9.3883 Å, 157.77 157.77 31.64°
Last column: nearest neighbours and their distance in Å.
Sites, in units of the cell vectors:
Be 0.0000 0.0000 0.0000  4 Re 2.56, 4 Rh 2.56
Be 0.7500 0.2500 0.5000  4 Re 2.56, 4 Rh 2.56
Re 0.0926 0.6250 0.9676  2 Re 2.40, 2 Be 2.56, 2 Rh 2.64
Re 0.3750 0.3426 0.4676  2 Re 2.40, 2 Be 2.56, 2 Rh 2.64
Re 0.6574 0.1250 0.0324  2 Re 2.40, 2 Be 2.56, 2 Rh 2.64
Re 0.8750 0.9074 0.5324  2 Re 2.40, 2 Be 2.56, 2 Rh 2.64
Rh 0.2500 0.7500 0.5000  4 Be 2.56, 4 Re 2.64
Rh 0.5000 0.5000 0.0000  4 Be 2.56, 4 Re 2.64

VASP energy = -68.118 eV for the cell shown
DOS(E_F) = 4.5 states/eV per cell
Calculated volume = 59.2 Å³/f.u.
ρ = 13.59 g cm⁻³
E_form = 0.479 eV/atom



3.
Be2ReRh: optimized geometry, PBE-GGA.

Cell: 3.9861 3.9861 3.9861 Å, 60.00 60.00 60.00°
Last column: nearest neighbours and their distance in Å.
Sites, in units of the cell vectors:
Be 0.2500 0.2500 0.2500  4 Re 2.44, 4 Rh 2.44
Be 0.7500 0.7500 0.7500  4 Re 2.44, 4 Rh 2.44
Re 0.0000 0.0000 0.0000  8 Be 2.44
Rh 0.5000 0.5000 0.5000  8 Be 2.44

Energy above the lowest structure with this stoichiometry = 0.202 eV per atom
VASP energy = -27.538 eV for the cell shown
DOS(E_F) = 4.9 states/eV per cell
Calculated volume = 44.8 Å³/f.u.
ρ = 11.39 g cm⁻³
E_form = -0.071 eV/atom